[1]
# SmNiB2C PBE relaxed
# Electronic total energy = -68.73 eV per cell
data_SmNiB2C
_symmetry_space_group_name_H-M 'P 1'
_symmetry_Int_Tables_number 1
_symmetry_space_group_name_Hall 'P 1'
_cell_length_a 3.7065
_cell_length_b 5.3931
_cell_length_c 6.1923
_cell_angle_alpha 90.00
_cell_angle_beta 90.00
_cell_angle_gamma 110.10
loop_
_atom_site_label
_atom_site_fract_x
_atom_site_fract_y
_atom_site_fract_z
B1 0.8702 0.7403 0.3941
B2 0.1298 0.2597 0.8941
B3 0.8702 0.7403 0.1059
B4 0.1298 0.2597 0.6059
Ni1 0.6889 0.3779 0.7500
Ni2 0.3111 0.6221 0.2500
C1 0.0000 0.0000 0.5000
C2 0.0000 0.0000 0.0000
Sm1 0.4001 0.8003 0.7500
Sm2 0.5999 0.1997 0.2500


[2]
# SmNi2B2C PBE relaxed
# Electronic total energy = -41.74 eV per cell
data_SmNi2B2C
_symmetry_space_group_name_H-M 'P 1'
_symmetry_Int_Tables_number 1
_symmetry_space_group_name_Hall 'P 1'
_cell_length_a 5.6860
_cell_length_b 5.6860
_cell_length_c 5.6860
_cell_angle_alpha 142.68
_cell_angle_beta 142.68
_cell_angle_gamma 53.80
loop_
_atom_site_label
_atom_site_fract_x
_atom_site_fract_y
_atom_site_fract_z
C1 0.5000 0.5000 0.0000
B1 0.3526 0.3526 0.0000
B2 0.6474 0.6474 0.0000
Sm1 0.0000 0.0000 0.0000
Ni1 0.2500 0.7500 0.5000
Ni2 0.7500 0.2500 0.5000


[3]
# Tb3Ni2B2C3 PBE relaxed
# Electronic total energy = -70.49 eV per cell
data_Tb3Ni2B2C3
_symmetry_space_group_name_H-M 'P 1'
_symmetry_Int_Tables_number 1
_symmetry_space_group_name_Hall 'P 1'
_cell_length_a 3.6025
_cell_length_b 3.6025
_cell_length_c 10.5148
_cell_angle_alpha 99.86
_cell_angle_beta 99.86
_cell_angle_gamma 90.00
loop_
_atom_site_label
_atom_site_fract_x
_atom_site_fract_y
_atom_site_fract_z
C1 0.1242 0.1242 0.2484
C2 0.8758 0.8758 0.7516
C3 0.5000 0.5000 0.0000
B1 0.1972 0.1972 0.3943
B2 0.8028 0.8028 0.6057
Ni1 0.2500 0.7500 0.5000
Ni2 0.7500 0.2500 0.5000
Tb1 0.6237 0.6237 0.2475
Tb2 0.3763 0.3763 0.7525
Tb3 0.0000 0.0000 0.0000


[4]
# TbNiB2C PBE relaxed
# Electronic total energy = -68.89 eV per cell
data_TbNiB2C
_symmetry_space_group_name_H-M 'P 1'
_symmetry_Int_Tables_number 1
_symmetry_space_group_name_Hall 'P 1'
_cell_length_a 3.6799
_cell_length_b 5.3017
_cell_length_c 6.0309
_cell_angle_alpha 90.00
_cell_angle_beta 90.00
_cell_angle_gamma 110.31
loop_
_atom_site_label
_atom_site_fract_x
_atom_site_fract_y
_atom_site_fract_z
B1 0.1352 0.2704 0.9002
B2 0.8648 0.7296 0.4002
B3 0.8648 0.7296 0.0998
B4 0.1352 0.2704 0.5998
Tb1 0.4054 0.8107 0.7500
Tb2 0.5946 0.1893 0.2500
Ni1 0.3036 0.6072 0.2500
Ni2 0.6964 0.3928 0.7500
C1 0.0000 0.0000 0.5000
C2 0.0000 0.0000 0.0000


[5]
# TbYNi4B4C2 PBE relaxed
# Electronic total energy = -85.50 eV per cell
data_TbYNi4B4C2
_symmetry_space_group_name_H-M 'P 1'
_symmetry_Int_Tables_number 1
_symmetry_space_group_name_Hall 'P 1'
_cell_length_a 3.5552
_cell_length_b 3.5552
_cell_length_c 10.3600
_cell_angle_alpha 90.00
_cell_angle_beta 90.00
_cell_angle_gamma 90.00
loop_
_atom_site_label
_atom_site_fract_x
_atom_site_fract_y
_atom_site_fract_z
B1 0.5000 0.5000 0.3559
B2 0.5000 0.5000 0.6441
B3 0.0000 0.0000 0.8558
B4 0.0000 0.0000 0.1442
Ni1 0.5000 0.0000 0.7500
Ni2 0.5000 0.0000 0.2500
Ni3 0.0000 0.5000 0.7500
Ni4 0.0000 0.5000 0.2500
C1 0.0000 0.0000 0.0000
C2 0.5000 0.5000 0.5000
Y1 0.5000 0.5000 0.0000
Tb1 0.0000 0.0000 0.5000


[6]
# Th3Ni2B2C3 PBE relaxed
# Electronic total energy = -79.45 eV per cell
data_Th3Ni2B2C3
_symmetry_space_group_name_H-M 'P 1'
_symmetry_Int_Tables_number 1
_symmetry_space_group_name_Hall 'P 1'
_cell_length_a 3.7739
_cell_length_b 3.7739
_cell_length_c 10.5179
_cell_angle_alpha 100.34
_cell_angle_beta 100.34
_cell_angle_gamma 90.00
loop_
_atom_site_label
_atom_site_fract_x
_atom_site_fract_y
_atom_site_fract_z
C1 0.1252 0.1252 0.2504
C2 0.8748 0.8748 0.7496
C3 0.5000 0.5000 0.0000
Ni1 0.2500 0.7500 0.5000
Ni2 0.7500 0.2500 0.5000
B1 0.2005 0.2005 0.4010
B2 0.7995 0.7995 0.5990
Th1 0.6320 0.6320 0.2640
Th2 0.3680 0.3680 0.7360
Th3 0.0000 0.0000 0.0000


[7]
# Tm3Ni2B2C3 PBE relaxed
# Electronic total energy = -70.67 eV per cell
data_Tm3Ni2B2C3
_symmetry_space_group_name_H-M 'P 1'
_symmetry_Int_Tables_number 1
_symmetry_space_group_name_Hall 'P 1'
_cell_length_a 3.5251
_cell_length_b 3.5251
_cell_length_c 10.4193
_cell_angle_alpha 99.74
_cell_angle_beta 99.74
_cell_angle_gamma 90.00
loop_
_atom_site_label
_atom_site_fract_x
_atom_site_fract_y
_atom_site_fract_z
B1 0.1950 0.1950 0.3901
B2 0.8050 0.8050 0.6099
Tm1 0.0000 0.0000 0.0000
Tm2 0.6211 0.6211 0.2423
Tm3 0.3789 0.3789 0.7577
Ni1 0.7500 0.2500 0.5000
Ni2 0.2500 0.7500 0.5000
C1 0.1216 0.1216 0.2431
C2 0.8784 0.8784 0.7569
C3 0.5000 0.5000 0.0000


[8]
# YNi2B2C PBE relaxed
# Electronic total energy = -43.67 eV per cell
data_YNi2B2C
_symmetry_space_group_name_H-M 'P 1'
_symmetry_Int_Tables_number 1
_symmetry_space_group_name_Hall 'P 1'
_cell_length_a 5.7744
_cell_length_b 5.7744
_cell_length_c 5.7744
_cell_angle_alpha 144.25
_cell_angle_beta 144.25
_cell_angle_gamma 51.46
loop_
_atom_site_label
_atom_site_fract_x
_atom_site_fract_y
_atom_site_fract_z
Ni1 0.2500 0.7500 0.5000
Ni2 0.7500 0.2500 0.5000
B1 0.8565 0.8565 0.0000
B2 0.1435 0.1435 0.0000
Y1 0.5000 0.5000 0.0000
C1 0.0000 0.0000 0.0000


[9]
# YNiBC PBE relaxed
# Electronic total energy = -60.40 eV per cell
data_YNiBC
_symmetry_space_group_name_H-M 'P 1'
_symmetry_Int_Tables_number 1
_symmetry_space_group_name_Hall 'P 1'
_cell_length_a 3.5885
_cell_length_b 3.5885
_cell_length_c 7.5732
_cell_angle_alpha 90.00
_cell_angle_beta 90.00
_cell_angle_gamma 90.00
loop_
_atom_site_label
_atom_site_fract_x
_atom_site_fract_y
_atom_site_fract_z
C1 0.7500 0.7500 0.1566
C2 0.2500 0.2500 0.8434
Ni1 0.7500 0.2501 0.5000
Ni2 0.2500 0.7500 0.5000
Y1 0.2500 0.2500 0.1655
Y2 0.7500 0.7500 0.8345
B1 0.2500 0.2501 0.6465
B2 0.7500 0.7501 0.3535


[10]
# NpB2C2 PBE relaxed
# Electronic total energy = -44.99 eV per cell
data_NpB2C2
_symmetry_space_group_name_H-M 'P 1'
_symmetry_Int_Tables_number 1
_symmetry_space_group_name_Hall 'P 1'
_cell_length_a 2.7628
_cell_length_b 2.7628
_cell_length_c 8.7078
_cell_angle_alpha 80.87
_cell_angle_beta 80.87
_cell_angle_gamma 60.00
loop_
_atom_site_label
_atom_site_fract_x
_atom_site_fract_y
_atom_site_fract_z
C1 0.4157 0.4157 0.7528
C2 0.5843 0.5843 0.2472
B1 0.7518 0.7518 0.7446
B2 0.2482 0.2482 0.2554
Np1 0.0000 0.0000 0.0000


[11]
# NpB3C3 PBE relaxed
# Electronic total energy = -112.95 eV per cell
data_NpB3C3
_symmetry_space_group_name_H-M 'P 1'
_symmetry_Int_Tables_number 1
_symmetry_space_group_name_Hall 'P 1'
_cell_length_a 2.5453
_cell_length_b 7.4586
_cell_length_c 7.4586
_cell_angle_alpha 120.00
_cell_angle_beta 90.00
_cell_angle_gamma 90.00
loop_
_atom_site_label
_atom_site_fract_x
_atom_site_fract_y
_atom_site_fract_z
C1 0.2500 0.4372 0.9791
C2 0.2500 0.5419 0.5628
C3 0.2500 0.0209 0.4581
C4 0.7500 0.9791 0.5419
C5 0.7500 0.4581 0.4372
C6 0.7500 0.5628 0.0209
B1 0.2500 0.2196 0.9886
B2 0.7500 0.7804 0.0114
B3 0.7500 0.9886 0.7690
B4 0.2500 0.0114 0.2310
B5 0.2500 0.7690 0.7804
B6 0.7500 0.2310 0.2196
Np1 0.2500 0.6667 0.3333
Np2 0.7500 0.3333 0.6667


[12]
# NpB6C2 PBE relaxed
# Electronic total energy = -67.23 eV per cell
data_NpB6C2
_symmetry_space_group_name_H-M 'P 1'
_symmetry_Int_Tables_number 1
_symmetry_space_group_name_Hall 'P 1'
_cell_length_a 3.4671
_cell_length_b 5.3312
_cell_length_c 5.3312
_cell_angle_alpha 77.49
_cell_angle_beta 71.07
_cell_angle_gamma 71.07
loop_
_atom_site_label
_atom_site_fract_x
_atom_site_fract_y
_atom_site_fract_z
B1 0.3048 0.9712 0.4192
B2 0.3048 0.4192 0.9712
B3 0.5000 0.6286 0.3714
B4 0.6952 0.0288 0.5808
B5 0.6952 0.5808 0.0288
B6 0.5000 0.3714 0.6286
C1 0.3242 0.1762 0.1762
C2 0.6758 0.8238 0.8238
Np1 0.0000 0.0000 0.0000


What is the formula in the first record?
SmNiB2C